# 1
Material: MgP2ClF
Method: DFT, PBE
State: relaxed

a b c (Å): 5.143 3.682 5.143
angles (deg): 90.00 90.00 90.00
Element x y z (fractional)
Cl 0.500 0.500 0.500
F 0.000 0.500 0.000
P 0.000 0.000 0.500
P 0.500 0.000 0.000
Mg 0.000 0.000 0.000

Polymorph energy (0 for the lowest one) in meV per atom: 0
Formation energy (no corrections) in kJ/mol of formula units: -68
Magnetic moment in μB/cell: 0.0
Symmetry: P4/mmm (123)

# 2
Material: NiBr3
Method: DFT, PBE
State: relaxed

a b c (Å): 3.435 6.865 6.874
angles (deg): 44.78 90.00 90.00
Element x y z (fractional)
Br 0.000 0.119 0.120
Br 0.000 0.381 0.380
Br 0.500 0.750 0.750
Ni 0.500 0.250 0.250

Formation energy (no corrections) in kJ/mol of formula units: -70
Magnetic moment in μB/cell: 0.0
Symmetry: P2/m (10)

# 3
Material: Tb3Ga7Pd2
Method: DFT, PBE
State: relaxed

a b c (Å): 4.216 4.233 13.500
angles (deg): 98.93 90.00 90.00
Element x y z (fractional)
Ga 0.500 0.725 0.450
Ga 0.500 0.275 0.550
Ga 0.000 0.416 0.838
Ga 0.000 0.000 0.000
Ga 0.500 0.081 0.162
Ga 0.500 0.919 0.838
Ga 0.000 0.584 0.162
Tb 0.000 0.184 0.363
Tb 0.000 0.816 0.637
Tb 0.500 0.500 0.000
Pd 0.500 0.369 0.736
Pd 0.500 0.631 0.264

Magnetic moment in μB/cell: 0.0
Energy of formation in eV/atom: -0.68
Symmetry: P2/m (10)

# 4
Material: TcTeSe2
Method: DFT, PBE
State: relaxed

a b c (Å): 12.319 6.313 6.313
angles (deg): 67.79 120.74 59.26
Element x y z (fractional)
Te 0.168 0.187 0.131
Te 0.668 0.369 0.313
Se 0.816 0.349 0.976
Se 0.221 0.318 0.647
Se 0.721 0.853 0.182
Se 0.316 0.524 0.151
Tc 0.313 0.595 0.744
Tc 0.813 0.756 0.905

Formation energy (no corrections) in kJ/mol of formula units: -13
Magnetic moment in μB/cell: 0.0
Symmetry: Cc (9)